Compound: Sc4BiOs
Source: Alexandria via LeMat-Bulk
Functional: GGA-PBE
Structure: relaxed

Lattice parameters (Å, degrees): 5.3646 6.1054 8.2592 90.00 99.30 90.00
Space group P2_1/m (No. 11)
Unique sites:
Sc  0.1420  0.2500  0.0561 [2 per cell]
Sc  0.2102  0.7500  0.3241 [2 per cell]
Sc  0.3220  0.5065  0.7570 [4 per cell]
Bi  0.2255  0.2500  0.4270 [2 per cell]
Os  0.3694  0.7500  0.0373 [2 per cell]

Values from the calculation:
* polymorph energy (0 for the lowest one): 0 kJ/mol of formula units
* volume: 22.2 Å³ per atom
* magnetic moment: 0.002 μB/f.u.
* D(E_F): 0.90 states/eV/atom
* mass density: 7.20 g/cm3
* energy of formation from the pure elements: -458 meV per atom